Record 1
Mg3ScHg, optimized geometry, DFT PBE-GGA; E above lowest polymorph = 41.7 kJ per mole of atoms; total magnetization = 0.00 μB per cell; uncorrected energy = -10.0 eV for the cell shown; space group = No. 221
1.0
-1.876 3.829 2.884
-4.365 -2.645 0.672
1.981 -2.200 4.211
Sc Mg Hg
1 3 1
Cartesian
-2.130 -0.508 3.883
-2.183 -1.322 0.336
0.991 -1.100 2.105
-0.938 1.915 1.442
0.000 0.000 0.000

Record 2
MgSc2Hg, optimized geometry, DFT PBE-GGA; total magnetization = 0.00 μB per cell; uncorrected energy = -15.0 eV for the cell shown; space group = No. 166
1.0
-7.151 6.422 2.239
-8.039 3.852 4.235
-5.721 6.071 5.274
Hg Mg Sc
1 1 2
Cartesian
-5.228 4.086 2.937
-15.683 12.259 8.811
-20.835 16.286 11.705
-10.531 8.232 5.917

Record 3
Mg2Sc3Hg2, optimized geometry, DFT PBE-GGA; total magnetization = 0.00 μB per cell; uncorrected energy = -24.2 eV for the cell shown; space group = No. 2
1.0
4.259 -0.120 -1.966
-2.116 5.300 0.691
-1.566 0.208 7.770
Mg Sc Hg
2 3 2
Cartesian
2.584 2.053 -0.131
-2.007 3.334 6.626
0.000 0.000 0.000
-0.271 1.216 4.920
0.849 4.172 1.575
1.118 1.357 2.327
-0.541 4.031 4.168

Computed energy of formation, in the same sequence as the records: 290 -120 -198 meV/atom.